P | A relaxed TaTcB2 crystal, computed with PBE-GGA.

Structure (extended XYZ):
```
4
Lattice="0.000 2.803 2.803 2.803 0.000 2.803 2.803 2.803 0.000" Properties=species:S:1:pos:R:3 pbc="T T T"
Ta 0.000 0.000 0.000
Tc 2.803 2.803 2.803
B 1.402 1.402 1.402
B 4.205 4.205 4.205
```

Computed properties:
Total magnetization, μB/atom: 0.00
Symmetry: Fm-3m
Crystal system: cubic

---

Q | A relaxed TaTcB2 crystal, computed with PBE-GGA.

Structure (extended XYZ):
```
4
Lattice="1.594 0.920 5.174 -1.594 0.920 5.174 0.000 -1.841 5.174" Properties=species:S:1:pos:R:3 pbc="T T T"
Ta 0.000 0.000 0.000
Tc 0.000 0.000 7.761
B 0.000 0.000 3.814
B 0.000 0.000 11.708
```

Computed properties:
Total magnetization, μB/atom: 0.00
Symmetry: R-3m
Crystal system: trigonal

---

Most stable: Q (next structure +37.2 kJ/mol of atoms)

---

P | A relaxed TaTcB2 crystal, computed with PBE-GGA.

Structure (extended XYZ):
```
4
Lattice="3.316 0.000 0.000 0.000 3.063 0.000 -1.668 0.000 4.214" Properties=species:S:1:pos:R:3 pbc="T T T"
Ta 0.000 0.000 0.000
Tc -0.011 1.532 2.425
B 1.652 1.532 0.719
B 1.655 0.000 1.728
```

Computed properties:
Total magnetization, μB/atom: 0.00
Symmetry: Pm
Crystal system: monoclinic

---

Q | A relaxed TaTcB2 crystal, computed with PBE-GGA.

Structure (extended XYZ):
```
8
Lattice="-2.367 2.367 5.130 2.367 -2.367 5.130 2.367 2.367 -5.130" Properties=species:S:1:pos:R:3 pbc="T T T"
Ta 0.000 0.000 0.000
Ta 0.000 2.367 2.565
Tc 2.367 0.000 2.565
Tc 0.000 0.000 5.130
B 1.183 -1.022 3.847
B 1.345 1.183 1.282
B 1.183 3.389 -1.282
B 1.022 1.183 6.412
```

Computed properties:
Total magnetization, μB/atom: 0.00
Symmetry: I-42d
Crystal system: tetragonal

---

Most stable: P (next structure +114.5 kJ/mol of atoms)

---

P | A relaxed Ta3TcB crystal, computed with PBE-GGA.

Structure (extended XYZ):
```
5
Lattice="4.328 0.000 0.000 0.000 4.328 0.000 0.000 0.000 4.328" Properties=species:S:1:pos:R:3 pbc="T T T"
Ta 0.000 0.000 2.164
Ta 0.000 2.164 0.000
Ta 2.164 0.000 0.000
Tc 2.164 2.164 2.164
B 0.000 0.000 0.000
```

Computed properties:
Total magnetization, μB/atom: 0.00
Symmetry: Pm-3m
Crystal system: cubic

---

Q | A relaxed Ta3TcB crystal, computed with PBE-GGA.

Structure (extended XYZ):
```
5
Lattice="4.760 0.000 0.000 0.000 4.760 0.000 0.000 0.000 4.760" Properties=species:S:1:pos:R:3 pbc="T T T"
Ta 0.000 0.000 2.380
Ta 0.000 2.380 0.000
Ta 2.380 0.000 0.000
Tc 0.000 0.000 0.000
B 2.380 2.380 2.380
```

Computed properties:
Total magnetization, μB/atom: 0.00
Symmetry: Pm-3m
Crystal system: cubic

---

Most stable: P (next structure +178.4 kJ/mol of atoms)

---

P | A relaxed TaB3Te crystal, computed with PBE-GGA.

Structure (extended XYZ):
```
5
Lattice="4.393 0.000 0.000 0.000 4.393 0.000 0.000 0.000 4.393" Properties=species:S:1:pos:R:3 pbc="T T T"
Ta 0.000 0.000 0.000
B 0.000 0.000 2.197
B 0.000 2.197 0.000
B 2.197 0.000 0.000
Te 2.197 2.197 2.197
```

Computed properties:
Total magnetization, μB/atom: 0.00
Symmetry: Pm-3m
Crystal system: cubic

---

Q | A relaxed TaB3Te crystal, computed with PBE-GGA.

Structure (extended XYZ):
```
5
Lattice="4.281 0.000 0.000 0.000 4.281 0.000 0.000 0.000 4.281" Properties=species:S:1:pos:R:3 pbc="T T T"
Ta 0.000 0.000 0.000
B 0.000 2.140 2.140
B 2.140 0.000 2.140
B 2.140 2.140 0.000
Te 2.140 2.140 2.140
```

Computed properties:
Total magnetization, μB/atom: 0.00
Symmetry: Pm-3m
Crystal system: cubic

---

Most stable: P (next structure +81.1 kJ/mol of atoms)

---

P | A relaxed TaBTe3 crystal, computed with PBE-GGA.

Structure (extended XYZ):
```
5
Lattice="4.752 0.000 0.000 0.000 4.752 0.000 0.000 0.000 4.752" Properties=species:S:1:pos:R:3 pbc="T T T"
Ta 0.000 0.000 0.000
B 2.376 2.376 2.376
Te 0.000 2.376 2.376
Te 2.376 0.000 2.376
Te 2.376 2.376 0.000
```

Computed properties:
Total magnetization, μB/atom: 0.00
Symmetry: Pm-3m
Crystal system: cubic

---

Q | A relaxed TaBTe3 crystal, computed with PBE-GGA.

Structure (extended XYZ):
```
5
Lattice="5.412 0.000 0.000 0.000 5.412 0.000 0.000 0.000 5.412" Properties=species:S:1:pos:R:3 pbc="T T T"
Ta 0.000 0.000 0.000
B 2.706 2.706 2.706
Te 0.000 0.000 2.706
Te 0.000 2.706 0.000
Te 2.706 0.000 0.000
```

Computed properties:
Total magnetization, μB/atom: 0.04
Symmetry: Pm-3m
Crystal system: cubic

---

Most stable: P (next structure +10.1 kJ/mol of atoms)

---

P | A relaxed TaTi2B2 crystal, computed with PBE-GGA.

Structure (extended XYZ):
```
5
Lattice="-1.653 2.534 3.703 1.653 -2.534 3.703 1.653 2.534 -3.703" Properties=species:S:1:pos:R:3 pbc="T T T"
Ta 0.000 0.000 0.000
Ti 1.653 0.000 2.201
Ti 0.000 2.534 1.502
B 1.653 1.653 0.000
B 0.000 0.881 3.703
```

Computed properties:
Total magnetization, μB/atom: 0.00
Symmetry: Immm
Crystal system: orthorhombic

---

Q | A relaxed TaTi2B2 crystal, computed with PBE-GGA.

Structure (extended XYZ):
```
10
Lattice="6.135 0.000 0.000 0.000 6.135 0.000 0.000 0.000 3.224" Properties=species:S:1:pos:R:3 pbc="T T T"
Ta 0.000 0.000 0.000
Ta 3.067 3.067 0.000
Ti 1.100 1.967 1.612
Ti 1.967 5.035 1.612
Ti 4.167 1.100 1.612
Ti 5.035 4.167 1.612
B 0.639 3.707 0.000
B 2.428 0.639 0.000
B 3.707 5.495 0.000
B 5.495 2.428 0.000
```

Computed properties:
Total magnetization, μB/atom: 0.00
Symmetry: P4/mbm
Crystal system: tetragonal

---

Most stable: Q (next structure +5.8 kJ/mol of atoms)

---

P | A relaxed Ta3TiB4 crystal, computed with PBE-GGA.

Structure (extended XYZ):
```
8
Lattice="3.135 0.000 0.000 0.000 3.282 0.000 0.000 0.000 8.697" Properties=species:S:1:pos:R:3 pbc="T T T"
Ta 0.000 0.000 0.000
Ta 0.000 1.641 4.290
Ta 1.568 1.641 6.856
Ti 1.568 0.000 2.505
B 0.000 0.000 6.091
B 0.000 1.641 1.775
B 1.568 0.000 5.054
B 1.568 1.641 0.766
```

Computed properties:
Total magnetization, μB/atom: 0.00
Symmetry: Pmm2
Crystal system: orthorhombic

---

Q | A relaxed Ta3TiB4 crystal, computed with PBE-GGA.

Structure (extended XYZ):
```
8
Lattice="-1.624 2.393 6.218 1.624 -2.393 6.218 1.624 2.393 -6.218" Properties=species:S:1:pos:R:3 pbc="T T T"
Ta 0.000 0.000 0.000
Ta 1.624 0.000 3.789
Ta 0.000 2.393 2.429
Ti 0.000 0.000 6.218
B 1.624 0.856 -1.641
B 1.624 0.856 1.641
B 0.000 1.537 4.577
B 0.000 1.537 7.859
```

Computed properties:
Total magnetization, μB/atom: 0.00
Symmetry: Immm
Crystal system: orthorhombic

---

Most stable: P (next structure +34.0 kJ/mol of atoms)

---

P | A relaxed Ta3TlB crystal, computed with PBE-GGA.

Structure (extended XYZ):
```
5
Lattice="5.057 0.000 0.000 0.000 5.057 0.000 0.000 0.000 5.057" Properties=species:S:1:pos:R:3 pbc="T T T"
Ta 0.000 0.000 2.529
Ta 0.000 2.529 0.000
Ta 2.529 0.000 0.000
Tl 0.000 0.000 0.000
B 2.529 2.529 2.529
```

Computed properties:
Total magnetization, μB/atom: 0.00
Symmetry: Pm-3m
Crystal system: cubic

---

Q | A relaxed Ta3TlB crystal, computed with PBE-GGA.

Structure (extended XYZ):
```
5
Lattice="4.414 0.000 0.000 0.000 4.414 0.000 0.000 0.000 4.414" Properties=species:S:1:pos:R:3 pbc="T T T"
Ta 0.000 0.000 2.207
Ta 0.000 2.207 0.000
Ta 2.207 0.000 0.000
Tl 2.207 2.207 2.207
B 0.000 0.000 0.000
```

Computed properties:
Total magnetization, μB/atom: 0.00
Symmetry: Pm-3m
Crystal system: cubic

---

Most stable: Q (next structure +299.6 kJ/mol of atoms)